[1]
VASP calculation (PBE-GGA) on crystalline Sr2AuN at its relaxed geometry. Values from VASP.

```
&SYSTEM
  ibrav = 0, nat = 16, ntyp = 3
/
ATOMIC_SPECIES
Sr 87.62 Sr.upf
Au 196.97 Au.upf
N 14.01 N.upf
ATOMIC_POSITIONS angstrom
Sr 1.191 0.082 1.239
Sr 1.191 3.374 1.239
Sr 2.432 3.537 4.958
Sr 2.432 6.829 4.958
Sr 4.813 0.082 2.480
Sr 4.813 3.374 2.480
Sr 6.054 3.537 6.200
Sr 6.054 6.829 6.200
Au 0.013 1.728 3.833
Au 3.610 5.183 0.114
Au 3.636 1.728 7.324
Au 7.232 5.183 3.605
N 0.783 5.183 6.680
N 2.839 1.728 2.961
N 4.406 5.183 4.477
N 6.462 1.728 0.758
CELL_PARAMETERS angstrom
7.245 0.000 0.000
0.000 6.911 0.000
0.000 0.000 7.438
```

Output
- Formation energy without anion corrections: -0.498 eV per atom

[2]
VASP calculation (PBE-GGA) on crystalline PIO2 at its relaxed geometry. Values from VASP.

```
&SYSTEM
  ibrav = 0, nat = 4, ntyp = 3
/
ATOMIC_SPECIES
P 30.97 P.upf
I 126.90 I.upf
O 16.00 O.upf
ATOMIC_POSITIONS angstrom
P 0.000 0.000 0.000
I 2.950 2.730 3.336
O 0.000 1.466 0.143
O 1.465 4.995 0.377
CELL_PARAMETERS angstrom
3.029 0.000 0.000
-0.050 5.697 0.000
-0.030 -2.291 5.970
```

Output
- Energy above the most stable polymorph in this dataset: 290.9 meV/atom
- Formation energy without anion corrections: -0.974 eV per atom

[3]
VASP calculation (PBE-GGA) on crystalline ZrV3Zn at its relaxed geometry. Values from VASP.

```
&SYSTEM
  ibrav = 0, nat = 5, ntyp = 3
/
ATOMIC_SPECIES
Zr 91.22 Zr.upf
V 50.94 V.upf
Zn 65.41 Zn.upf
ATOMIC_POSITIONS angstrom
Zr 0.000 0.000 0.000
V 0.000 2.256 2.256
V 2.256 0.000 2.256
V 2.256 2.256 0.000
Zn 2.256 2.256 2.256
CELL_PARAMETERS angstrom
4.512 0.000 0.000
0.000 4.512 0.000
0.000 0.000 4.512
```

Output
- Energy above the most stable polymorph in this dataset: 0.0 meV/atom
- Calculated formation energy: 1.08 eV per atom

What are the M_tot values for these records? In order: 0.00 0.00 0.00 μB/f.u..
What are the calculated volume values for these records? In order: 23.278 25.757 18.366 Å³ per atom.